Record 1
The following is a PBE calculation of CsK2CuAu after structural relaxation, from Alexandria.

CIF file:
```
data_CsK2CuAu
_cell_length_a 6.406
_cell_length_b 6.406
_cell_length_c 5.103
_cell_angle_alpha 90.00
_cell_angle_beta 90.00
_cell_angle_gamma 90.00
_space_group_name_H-M_alt 'P 1'
_space_group_IT_number 1
_space_group_name_Hall 'P 1'
loop_
_atom_site_label
_atom_site_type_symbol
_atom_site_fract_x
_atom_site_fract_y
_atom_site_fract_z
Cs1 Cs 0.500 0.500 0.500
K1 K 0.000 0.500 0.000
K2 K 0.500 0.000 0.000
Au1 Au 0.000 0.000 0.500
Cu1 Cu 0.000 0.000 0.000
```

The energy of formation from the pure elements comes out at 0.1087 eV/atom. For the volume, the calculation gives 209.4 Å³ per cell.

Record 2
The following is a PBE calculation of Ba3AgGe2O8 after structural relaxation, from Alexandria.

CIF file:
```
data_Ba3AgGe2O8
_cell_length_a 5.927
_cell_length_b 5.927
_cell_length_c 7.620
_cell_angle_alpha 90.00
_cell_angle_beta 90.00
_cell_angle_gamma 120.00
_space_group_name_H-M_alt 'P 1'
_space_group_IT_number 1
_space_group_name_Hall 'P 1'
loop_
_atom_site_label
_atom_site_type_symbol
_atom_site_fract_x
_atom_site_fract_y
_atom_site_fract_z
Ba1 Ba 0.333 0.667 0.656
Ba2 Ba 0.667 0.333 0.344
Ba3 Ba 0.000 0.000 0.000
Ag1 Ag 0.000 0.000 0.500
Ge1 Ge 0.333 0.667 0.212
Ge2 Ge 0.667 0.333 0.788
O1 O 0.333 0.667 0.984
O2 O 0.667 0.333 0.016
O3 O 0.172 0.828 0.302
O4 O 0.828 0.172 0.698
O5 O 0.172 0.344 0.302
O6 O 0.828 0.656 0.698
O7 O 0.656 0.828 0.302
O8 O 0.344 0.172 0.698
```

For the energy relative to the elements, uncorrected, the calculation gives -1.968 eV/atom. For the volume, the calculation gives 231.8 Å³ per cell.

Record 3
The following is a PBE calculation of SrMg2AlAg4 after structural relaxation, from Alexandria.

CIF file:
```
data_SrMg2AlAg4
_cell_length_a 4.657
_cell_length_b 4.657
_cell_length_c 9.715
_cell_angle_alpha 76.13
_cell_angle_beta 76.13
_cell_angle_gamma 60.00
_space_group_name_H-M_alt 'P 1'
_space_group_IT_number 1
_space_group_name_Hall 'P 1'
loop_
_atom_site_label
_atom_site_type_symbol
_atom_site_fract_x
_atom_site_fract_y
_atom_site_fract_z
Sr1 Sr 0.000 0.000 0.000
Mg1 Mg 0.763 0.763 0.710
Mg2 Mg 0.237 0.237 0.290
Al1 Al 0.500 0.500 0.500
Ag1 Ag 0.405 0.405 0.785
Ag2 Ag 0.866 0.866 0.402
Ag3 Ag 0.134 0.134 0.598
Ag4 Ag 0.595 0.595 0.215
```

The energy of formation from the pure elements comes out at -0.1800 eV/atom. For the volume, the calculation gives 175.4 Å³ per cell.

Record 4
The following is a PBE calculation of Pr8P3HSe4 after structural relaxation, from Alexandria.

CIF file:
```
data_Pr8P3HSe4
_cell_length_a 8.364
_cell_length_b 8.455
_cell_length_c 8.365
_cell_angle_alpha 119.65
_cell_angle_beta 120.00
_cell_angle_gamma 90.00
_space_group_name_H-M_alt 'P 1'
_space_group_IT_number 1
_space_group_name_Hall 'P 1'
loop_
_atom_site_label
_atom_site_type_symbol
_atom_site_fract_x
_atom_site_fract_y
_atom_site_fract_z
Pr1 Pr 0.249 0.736 0.987
Pr2 Pr 0.249 0.736 0.498
Pr3 Pr 0.257 0.270 0.513
Pr4 Pr 0.738 0.736 0.987
Pr5 Pr 0.262 0.264 0.013
Pr6 Pr 0.743 0.730 0.487
Pr7 Pr 0.751 0.264 0.502
Pr8 Pr 0.751 0.264 0.013
P1 P 0.500 0.500 0.000
P2 P 0.500 0.500 0.500
P3 P 0.000 0.500 0.500
H1 H 0.000 0.500 0.000
Se1 Se 0.500 0.000 0.000
Se2 Se 0.500 0.000 0.500
Se3 Se 0.000 0.000 0.000
Se4 Se 0.000 0.000 0.500
```

Its total energy is -6.05 eV per atom. For the volume, the calculation gives 420.5 Å³ per cell.

Record 5
The following is a PBE calculation of Y2TaSi4Pt3 after structural relaxation, from Alexandria.

CIF file:
```
data_Y2TaSi4Pt3
_cell_length_a 4.165
_cell_length_b 4.165
_cell_length_c 10.324
_cell_angle_alpha 90.00
_cell_angle_beta 90.00
_cell_angle_gamma 90.00
_space_group_name_H-M_alt 'P 1'
_space_group_IT_number 1
_space_group_name_Hall 'P 1'
loop_
_atom_site_label
_atom_site_type_symbol
_atom_site_fract_x
_atom_site_fract_y
_atom_site_fract_z
Y1 Y 0.500 0.000 0.239
Y2 Y 0.000 0.500 0.761
Ta1 Ta 0.500 0.500 0.500
Si1 Si 0.500 0.500 0.000
Si2 Si 0.000 0.000 0.000
Si3 Si 0.500 0.000 0.646
Si4 Si 0.000 0.500 0.354
Pt1 Pt 0.000 0.000 0.500
Pt2 Pt 0.500 0.000 0.879
Pt3 Pt 0.000 0.500 0.121
```

For the energy relative to the elements, uncorrected, the calculation gives -0.957 eV/atom. For the volume, the calculation gives 179.1 Å³ per cell.

Record 6
The following is a PBE calculation of MgSnAs2 after structural relaxation, from Alexandria.

CIF file:
```
data_MgSnAs2
_cell_length_a 3.938
_cell_length_b 3.938
_cell_length_c 7.111
_cell_angle_alpha 73.93
_cell_angle_beta 73.93
_cell_angle_gamma 60.00
_space_group_name_H-M_alt 'P 1'
_space_group_IT_number 1
_space_group_name_Hall 'P 1'
loop_
_atom_site_label
_atom_site_type_symbol
_atom_site_fract_x
_atom_site_fract_y
_atom_site_fract_z
Mg1 Mg 0.000 0.000 0.000
As1 As 0.250 0.250 0.249
As2 As 0.750 0.750 0.751
Sn1 Sn 0.500 0.500 0.500
```

The energy of formation from the pure elements comes out at -0.1873 eV/atom. For the volume, the calculation gives 90.5 Å³ per cell.

Respective size of the total moment values: 0.00, 1.01, 0.00, 0.00, 0.00, 0.00 μB per cell.
Respective density of states at the Fermi level values: 2.6, 5.6, 3.3, 7.6, 4.0, 1.8 states/eV per cell.